1.
Below is crystalline Pm2MgZn10 at its relaxed geometry, with properties calculated at the GGA-PBE level.

Total magnetic moment   0.00 Bohr magnetons per cell
Raw total energy   -49.46 eV per cell
Formation enthalpy at 0 K   -69 meV/atom

Cell and atoms, written as POSCAR:
```
Pm2MgZn10
1.0
6.1766 0.0000 0.0000
0.0000 16.0579 0.0000
0.0000 0.0000 5.5333
Pm Mg Zn
4 2 20
Direct
0.0987 0.1700 0.0000
0.4013 0.6700 0.0000
0.5987 0.3300 0.0000
0.9013 0.8300 0.0000
0.0000 0.5000 0.5000
0.5000 0.0000 0.5000
0.0980 0.3496 0.2292
0.0980 0.3496 0.7708
0.1044 0.7717 0.5000
0.1125 0.9359 0.5000
0.2502 0.1265 0.5000
0.2498 0.6265 0.5000
0.3875 0.4359 0.5000
0.3956 0.2717 0.5000
0.4020 0.8496 0.2292
0.4020 0.8496 0.7708
0.5980 0.1504 0.2292
0.5980 0.1504 0.7708
0.6044 0.7283 0.5000
0.6125 0.5641 0.5000
0.7502 0.3735 0.5000
0.7498 0.8735 0.5000
0.8875 0.0641 0.5000
0.8956 0.2283 0.5000
0.9020 0.6504 0.2292
0.9020 0.6504 0.7708
```

2.
Below is crystalline KLi3Zr at its relaxed geometry, with properties calculated at the GGA-PBE level.

Total magnetic moment   3.05 Bohr magnetons per cell
Raw total energy   -10.30 eV per cell
Formation enthalpy at 0 K   1017 meV/atom

Cell and atoms, written as POSCAR:
```
KLi3Zr
1.0
5.0198 0.0000 0.0000
0.0000 5.0198 0.0000
0.0000 0.0000 5.0198
K Li Zr
1 3 1
Direct
0.0000 0.0000 0.0000
0.0000 0.0000 0.5000
0.0000 0.5000 0.0000
0.5000 0.0000 0.0000
0.5000 0.5000 0.5000
```

3.
Below is crystalline ErAl2Zn8Cu at its relaxed geometry, with properties calculated at the GGA-PBE level.

Total magnetic moment   0.00 Bohr magnetons per cell
Raw total energy   -27.01 eV per cell
Formation enthalpy at 0 K   -56 meV/atom

Cell and atoms, written as POSCAR:
```
ErAl2Zn8Cu
1.0
3.9779 -2.5109 0.0000
3.9779 2.5109 0.0000
-0.8378 0.0000 10.1270
Er Al Zn Cu
1 2 8 1
Direct
0.0000 0.0000 0.0000
0.3343 0.3343 0.1639
0.6657 0.6657 0.8361
0.1660 0.6750 0.6945
0.3208 0.3208 0.8904
0.3250 0.8340 0.3055
0.3308 0.3308 0.4623
0.6692 0.6692 0.5377
0.6750 0.1660 0.6945
0.6792 0.6792 0.1096
0.8340 0.3250 0.3055
0.0000 0.0000 0.5000
```

4.
Below is crystalline ZrCd2Os at its relaxed geometry, with properties calculated at the GGA-PBE level.

Total magnetic moment   0.00 Bohr magnetons per cell
Raw total energy   -21.04 eV per cell
Formation enthalpy at 0 K   142 meV/atom

Cell and atoms, written as POSCAR:
```
ZrCd2Os
1.0
-2.0124 2.2848 4.1665
2.0124 -2.2848 4.1665
2.0124 2.2848 -4.1665
Zr Cd Os
1 2 1
Direct
0.0000 0.0000 0.0000
0.2666 0.7666 0.5000
0.5211 0.5211 0.0000
0.7788 0.2788 0.5000
```

Q: Which of these has the highest total magnetic moment?
A: KLi3Zr

Q: Look up the formation enthalpy at 0 K of the fourth one.
A: 142 meV/atom

Q: Number 1 is which compound?
A: Pm2MgZn10